VASP calculation (GGA-PBE) on Ac2PrInN after structural relaxation.

Values from the calculation:
spin magnetization = 0.0 μB per cell
uncorrected energy = -5.527 eV/atom
calculated density = 8.19 g/cm3
uncorrected formation energy = -0.72 eV/atom
SG = P4/mmm (123)

POSCAR file:
```
Ac2PrInN
1.0
5.329 0.000 0.000
0.000 5.329 0.000
0.000 0.000 5.168
Ac Pr In N
2 1 1 1
direct
0.000 0.500 0.000
0.500 0.000 0.000
0.000 0.000 0.500
0.500 0.500 0.500
0.000 0.000 0.000
```

=====

VASP calculation (GGA-PBE) on AcPr12In4N3 after structural relaxation.

Values from the calculation:
spin magnetization = 0.0 μB per cell
uncorrected energy = -5.240 eV/atom
calculated density = 6.97 g/cm3
uncorrected formation energy = -0.37 eV/atom
SG = Im-3m (229)

POSCAR file:
```
AcPr12In4N3
1.0
-5.243 5.243 5.243
5.243 -5.243 5.243
5.243 5.243 -5.243
Ac Pr In N
1 12 4 3
direct
0.000 0.000 0.000
0.000 0.281 0.281
0.000 0.719 0.719
0.250 0.500 0.750
0.250 0.750 0.500
0.281 0.000 0.281
0.281 0.281 0.000
0.500 0.250 0.750
0.500 0.750 0.250
0.719 0.000 0.719
0.719 0.719 0.000
0.750 0.250 0.500
0.750 0.500 0.250
0.000 0.000 0.500
0.000 0.500 0.000
0.500 0.000 0.000
0.500 0.500 0.500
0.000 0.500 0.500
0.500 0.000 0.500
0.500 0.500 0.000
```

=====

VASP calculation (GGA-PBE) on AcPr2InN after structural relaxation.

Values from the calculation:
spin magnetization = 0.0 μB per cell
uncorrected energy = -5.706 eV/atom
calculated density = 7.60 g/cm3
uncorrected formation energy = -0.76 eV/atom
SG = P4/mmm (123)

POSCAR file:
```
AcPr2InN
1.0
5.140 0.000 0.000
0.000 5.140 0.000
0.000 0.000 5.275
Ac Pr In N
1 2 1 1
direct
0.000 0.000 0.000
0.000 0.500 0.500
0.500 0.000 0.500
0.500 0.500 0.000
0.000 0.000 0.500
```

=====

VASP calculation (GGA-PBE) on Ac4InSbN after structural relaxation.

Values from the calculation:
spin magnetization = 0.0 μB per cell
uncorrected energy = -5.277 eV/atom
calculated density = 8.11 g/cm3
uncorrected formation energy = -0.76 eV/atom
SG = Cmcm (63)

POSCAR file:
```
Ac4InSbN
1.0
3.628 -8.934 0.000
3.628 8.934 0.000
0.000 0.000 7.320
Ac In Sb N
8 2 2 2
direct
0.000 0.500 0.000
0.000 0.500 0.500
0.076 0.924 0.750
0.418 0.582 0.750
0.500 0.000 0.000
0.500 0.000 0.500
0.582 0.418 0.250
0.924 0.076 0.250
0.387 0.613 0.250
0.613 0.387 0.750
0.112 0.888 0.250
0.888 0.112 0.750
0.276 0.724 0.750
0.724 0.276 0.250
```

=====

VASP calculation (GGA-PBE) on AcIn2SiN4 after structural relaxation.

Values from the calculation:
spin magnetization = 0.0 μB per cell
uncorrected energy = -6.462 eV/atom
calculated density = 7.48 g/cm3
uncorrected formation energy = -0.42 eV/atom
SG = Fmm2 (42)

POSCAR file:
```
AcIn2SiN4
1.0
0.000 4.064 3.647
4.051 0.000 3.647
4.051 4.064 0.000
Ac In Si N
1 2 1 4
direct
0.000 0.000 0.000
0.251 0.251 0.249
0.751 0.751 0.749
0.500 0.500 0.500
0.183 0.556 0.817
0.444 0.817 0.183
0.556 0.183 0.444
0.817 0.444 0.556
```

=====

VASP calculation (GGA-PBE) on Ac2InSi2N6 after structural relaxation.

Values from the calculation:
spin magnetization = 0.0 μB per cell
uncorrected energy = -7.121 eV/atom
calculated density = 7.02 g/cm3
uncorrected formation energy = -0.60 eV/atom
SG = R-3m (166)

POSCAR file:
```
Ac2InSi2N6
1.0
2.901 1.675 5.756
-2.901 1.675 5.756
0.000 -3.349 5.756
Ac In Si N
2 1 2 6
direct
0.211 0.211 0.211
0.789 0.789 0.789
0.000 0.000 0.000
0.419 0.419 0.419
0.581 0.581 0.581
0.246 0.745 0.745
0.255 0.255 0.754
0.255 0.754 0.255
0.745 0.246 0.745
0.745 0.745 0.246
0.754 0.255 0.255
```